VASP calculation (PBE) on a relaxed InFeTe2 crystal.

## Properties
The total magnetization comes out at 3.47 Bohr magnetons per cell. As for the uncorrected formation energy: 0.142 eV per atom.

a b c (Å): 4.2247 4.2247 5.9080
angles (deg): 90.00 90.00 90.00
With the nearest neighbours (Å) after each atom.
Space group P4mm (No. 99)
Asymmetric unit:
In1 0.0000 0.0000 0.0000  6 Te 2.95-2.99
Fe1 0.5000 0.5000 0.5015  6 Te 2.92-2.99
Te1 0.0000 0.0000 0.4992  2 In 2.95-2.96, 4 Fe 2.99
Te2 0.5000 0.5000 0.9965  2 Fe 2.92-2.98, 4 In 2.99

---

VASP calculation (PBE) on a relaxed Th2InFe crystal.

## Properties
The value obtained for the energy of formation from the pure elements is -0.18 eV/atom. The total magnetization comes out at 0.00 Bohr magnetons per cell.

a b c (Å): 6.1258 3.9229 9.2373
angles (deg): 90.00 109.29 90.00
With the nearest neighbours (Å) after each atom.
Space group P2_1/m (No. 11)
Asymmetric unit:
Th1 0.2118 0.2500 0.1462  3 Fe 2.76-2.99
Th2 0.2614 0.2500 0.7644  2 Fe 2.65
In1 0.2991 0.7500 0.4697  2 In 3.05, 1 Th 3.40
Fe1 0.3057 0.7500 0.9648  4 Th 2.65-2.76

---

VASP calculation (PBE) on a relaxed Th6InFe crystal.

## Properties
The value obtained for the energy of formation from the pure elements is 0.01 eV/atom. The total magnetization comes out at 0.00 Bohr magnetons per cell.

a b c (Å): 8.1187 9.8920 6.4006
angles (deg): 90.00 108.14 90.00
With the nearest neighbours (Å) after each atom.
Space group C2/m (No. 12)
Asymmetric unit:
Th1 0.1003 0.1930 0.2939  1 Fe 2.63
Th2 0.2057 0.5000 0.0916  1 Fe 2.63
In1 0.0000 0.5000 0.5000  12 Th 3.51-3.64
Fe1 0.0000 0.0000 0.0000  6 Th 2.63

---

VASP calculation (PBE) on a relaxed Th2InFe crystal.

## Properties
The value obtained for the energy of formation from the pure elements is -0.10 eV/atom. The total magnetization comes out at 0.80 Bohr magnetons per cell.

a b c (Å): 3.3741 3.3741 8.7182
angles (deg): 90.00 90.00 90.00
With the nearest neighbours (Å) after each atom.
Space group P4/mmm (No. 123)
Asymmetric unit:
Th1 0.0000 0.0000 0.2008  4 Fe 2.96
In1 0.5000 0.5000 0.5000  4 In 3.37, 8 Th 3.54
Fe1 0.5000 0.5000 0.0000  8 Th 2.96

---

VASP calculation (PBE) on a relaxed Th4InFe crystal.

## Properties
The value obtained for the energy of formation from the pure elements is -0.15 eV/atom. The total magnetization comes out at 0.00 Bohr magnetons per cell. The energy above the lowest structure with this stoichiometry is 0.0 kJ/mol of atoms.

a b c (Å): 13.8087 13.8087 13.8087
angles (deg): 90.00 90.00 90.00
With the nearest neighbours (Å) after each atom.
Space group F-43m (No. 216)
Asymmetric unit:
Th1 0.0000 0.0000 0.1880  2 In 3.33, 2 Fe 3.52, 10 Th 3.53-3.67
Th2 0.0578 0.2500 0.7500  2 Fe 2.79
Th3 0.0943 0.0943 0.4057  3 Fe 2.87
In1 0.1699 0.1699 0.1699  3 In 3.13, 3 Th 3.33
Fe1 0.1122 0.1122 0.6122  6 Th 2.79-2.87

---

VASP calculation (PBE) on a relaxed Th2InFe crystal.

## Properties
The value obtained for the energy of formation from the pure elements is -0.04 eV/atom. The total magnetization comes out at 0.00 Bohr magnetons per cell.

a b c (Å): 5.7361 4.3703 8.3262
angles (deg): 90.00 96.05 90.00
With the nearest neighbours (Å) after each atom.
Space group P2/m (No. 10)
Asymmetric unit:
Th1 0.0000 0.0000 0.0000  4 Fe 2.65
Th2 0.2344 0.5000 0.3853  1 Fe 2.49
Th3 0.5000 0.5000 0.0000  2 Fe 2.58
In1 0.3056 0.0000 0.6912  2 Fe 2.84
Fe1 0.0915 0.5000 0.8375  4 Th 2.49-2.65

---

VASP calculation (PBE) on a relaxed Th6In3Fe crystal.

## Properties
The value obtained for the energy of formation from the pure elements is -0.09 eV/atom. The total magnetization comes out at 0.00 Bohr magnetons per cell.

a b c (Å): 5.9830 9.1187 12.0348
angles (deg): 90.00 115.77 90.00
With the nearest neighbours (Å) after each atom.
Space group P2_1/c (No. 14)
Asymmetric unit:
Th1 0.0371 0.1566 0.4465  1 Fe 2.93, 1 In 3.22, 1 Th 3.24
Th2 0.3851 0.6945 0.4442  1 Fe 2.88, 1 In 3.20
Th3 0.3977 0.0386 0.2787  1 Fe 2.48
In1 0.0000 0.0000 0.0000  6 Th 3.18-3.22
In2 0.1515 0.1232 0.7602  9 Th 3.28-3.55, 1 In 3.56
Fe1 0.5000 0.0000 0.5000  2 Th 2.48

---

VASP calculation (PBE) on a relaxed Th5In2Fe2 crystal.

## Properties
The value obtained for the energy of formation from the pure elements is -0.13 eV/atom. The total magnetization comes out at 0.00 Bohr magnetons per cell.

a b c (Å): 16.5011 8.3489 7.0655
angles (deg): 90.00 90.00 90.00
With the nearest neighbours (Å) after each atom.
Space group Cmce (No. 64)
Asymmetric unit:
Th1 0.0000 0.0000 0.0000  2 Fe 2.57
Th2 0.1100 0.1755 0.3555  3 Fe 2.87-2.98
In1 0.2188 0.0000 0.0000  7 Th 3.34-3.61, 2 In 3.68
Fe1 0.0000 0.1068 0.6587  3 Th 2.57-2.87, 1 Fe 2.87